*P*
DFT (PBE) results for a geometry-optimized La2PrCd structure.

The crystal system is cubic. The calculation puts the magnetization at 0.0 Bohr magnetons per cell.

abc: 5.704 5.704 5.704
angles: 60.00 60.00 60.00
Fractional coordinates of all 4 atoms:
La: 0.250 0.250 0.250
La: 0.750 0.750 0.750
Pr: 0.000 0.000 0.000
Cd: 0.500 0.500 0.500

*Q*
DFT (PBE) results for a geometry-optimized La2PrCd structure.

The crystal system is trigonal. The calculation puts the magnetization at 0.0 Bohr magnetons per cell.

abc: 11.539 11.539 11.539
angles: 18.68 18.68 18.68
Fractional coordinates of all 4 atoms:
La: 0.000 0.000 0.000
La: 0.179 0.179 0.179
Pr: 0.757 0.757 0.757
Cd: 0.590 0.590 0.590

Quick ranking, most stable first: *Q*, *P*.

*P*
DFT (PBE) results for a geometry-optimized La2PrCd structure.

The crystal system is trigonal. The calculation puts the magnetization at 0.0 Bohr magnetons per cell.

abc: 11.560 11.560 11.560
angles: 18.57 18.57 18.57
Fractional coordinates of all 4 atoms:
La: 0.244 0.244 0.244
La: 0.756 0.756 0.756
Pr: 0.000 0.000 0.000
Cd: 0.500 0.500 0.500

*Q*
DFT (PBE) results for a geometry-optimized La2PrCd structure.

The crystal system is tetragonal. The calculation puts the magnetization at 0.0 Bohr magnetons per cell.

abc: 3.821 3.821 9.205
angles: 90.00 90.00 90.00
Fractional coordinates of all 4 atoms:
La: 0.000 0.000 0.224
La: 0.000 0.000 0.776
Pr: 0.500 0.500 0.500
Cd: 0.500 0.500 0.000

Quick ranking, most stable first: *Q*, *P*.

*P*
DFT (PBE) results for a geometry-optimized La2Pr3Cd3 structure.

The crystal system is orthorhombic. The calculation puts the magnetization at 0.0 Bohr magnetons per cell.

abc: 11.985 11.985 11.985
angles: 161.17 153.05 33.08
Fractional coordinates of all 8 atoms:
La: 0.234 0.234 0.000
La: 0.766 0.766 0.000
Pr: 0.000 0.000 0.000
Pr: 0.380 0.880 0.500
Pr: 0.620 0.120 0.500
Cd: 0.116 0.616 0.500
Cd: 0.500 0.500 0.000
Cd: 0.884 0.384 0.500

*Q*
DFT (PBE) results for a geometry-optimized La2Pr3Cd3 structure.

The crystal system is orthorhombic. The calculation puts the magnetization at 0.0 Bohr magnetons per cell.

abc: 5.071 5.093 9.581
angles: 90.00 90.00 90.00
Fractional coordinates of all 8 atoms:
La: 0.000 0.000 0.237
La: 0.000 0.000 0.763
Pr: 0.500 0.000 0.500
Pr: 0.500 0.500 0.232
Pr: 0.500 0.500 0.768
Cd: 0.000 0.500 0.000
Cd: 0.000 0.500 0.500
Cd: 0.500 0.000 0.000

Quick ranking, most stable first: *P*, *Q*.

*P*
DFT (PBE) results for a geometry-optimized La6PrCd2 structure.

The crystal system is tetragonal. The calculation puts the magnetization at 0.0 Bohr magnetons per cell.

abc: 5.085 5.085 12.135
angles: 90.00 90.00 90.00
Fractional coordinates of all 9 atoms:
La: 0.000 0.000 0.000
La: 0.000 0.500 0.221
La: 0.000 0.500 0.779
La: 0.500 0.000 0.221
La: 0.500 0.000 0.779
La: 0.500 0.500 0.000
Pr: 0.000 0.000 0.500
Cd: 0.500 0.500 0.390
Cd: 0.500 0.500 0.610

*Q*
DFT (PBE) results for a geometry-optimized La6PrCd2 structure.

The crystal system is monoclinic. The calculation puts the magnetization at 0.0 Bohr magnetons per cell.

abc: 6.889 6.889 12.449
angles: 107.41 107.41 33.18
Fractional coordinates of all 9 atoms:
La: 0.021 0.021 0.337
La: 0.312 0.312 0.411
La: 0.320 0.320 0.124
La: 0.680 0.680 0.876
La: 0.688 0.688 0.589
La: 0.979 0.979 0.663
Pr: 0.000 0.000 0.000
Cd: 0.352 0.352 0.799
Cd: 0.648 0.648 0.201

Quick ranking, most stable first: *Q*, *P*.

*P*
DFT (PBE) results for a geometry-optimized La4Pr3Cd2 structure.

The crystal system is monoclinic. The calculation puts the magnetization at 0.0 Bohr magnetons per cell.

abc: 8.324 8.324 7.740
angles: 109.09 109.09 36.67
Fractional coordinates of all 9 atoms:
La: 0.053 0.053 0.334
La: 0.278 0.278 0.695
La: 0.722 0.722 0.305
La: 0.947 0.947 0.666
Pr: 0.383 0.383 0.319
Pr: 0.500 0.500 0.000
Pr: 0.617 0.617 0.681
Cd: 0.159 0.159 0.998
Cd: 0.841 0.841 0.002

*Q*
DFT (PBE) results for a geometry-optimized La4Pr3Cd2 structure.

The crystal system is monoclinic. The calculation puts the magnetization at 0.0 Bohr magnetons per cell.

abc: 10.159 10.159 6.189
angles: 95.97 95.97 71.36
Fractional coordinates of all 18 atoms:
La: 0.054 0.816 0.960
La: 0.184 0.406 0.110
La: 0.184 0.946 0.540
La: 0.406 0.184 0.610
La: 0.594 0.816 0.390
La: 0.816 0.054 0.460
La: 0.816 0.594 0.890
La: 0.946 0.184 0.040
Pr: 0.026 0.324 0.581
Pr: 0.324 0.026 0.081
Pr: 0.378 0.622 0.250
Pr: 0.622 0.378 0.750
Pr: 0.676 0.974 0.919
Pr: 0.974 0.676 0.419
Cd: 0.271 0.534 0.688
Cd: 0.466 0.729 0.812
Cd: 0.534 0.271 0.188
Cd: 0.729 0.466 0.312

Quick ranking, most stable first: *P*, *Q*.

*P*
DFT (PBE) results for a geometry-optimized La3Pr3Cd structure.

The crystal system is trigonal. The calculation puts the magnetization at 0.0 Bohr magnetons per cell.

abc: 8.992 8.992 8.992
angles: 58.16 58.16 58.16
Fractional coordinates of all 14 atoms:
La: 0.062 0.568 0.219
La: 0.219 0.062 0.568
La: 0.432 0.781 0.938
La: 0.568 0.219 0.062
La: 0.781 0.938 0.432
La: 0.938 0.432 0.781
Pr: 0.215 0.706 0.410
Pr: 0.294 0.590 0.785
Pr: 0.410 0.215 0.706
Pr: 0.590 0.785 0.294
Pr: 0.706 0.410 0.215
Pr: 0.785 0.294 0.590
Cd: 0.163 0.163 0.163
Cd: 0.837 0.837 0.837

*Q*
DFT (PBE) results for a geometry-optimized La3Pr3Cd structure.

The crystal system is monoclinic. The calculation puts the magnetization at 0.0 Bohr magnetons per cell.

abc: 9.729 5.820 9.737
angles: 90.00 119.92 90.00
Fractional coordinates of all 14 atoms:
La: 0.019 0.250 0.388
La: 0.131 0.750 0.021
La: 0.389 0.750 0.869
La: 0.611 0.250 0.131
La: 0.869 0.250 0.979
La: 0.981 0.750 0.612
Pr: 0.254 0.750 0.438
Pr: 0.317 0.250 0.254
Pr: 0.437 0.250 0.683
Pr: 0.563 0.750 0.317
Pr: 0.683 0.750 0.746
Pr: 0.746 0.250 0.562
Cd: 0.166 0.250 0.834
Cd: 0.834 0.750 0.166

Quick ranking, most stable first: *Q*, *P*.